(1)
A plane-wave DFT calculation with PBE was carried out for crystalline TbSi2Pd6 at its relaxed geometry.

Cell lengths 5.5581, 5.5581, 6.3218 Å; angles 90.00, 90.00, 120.00 degrees
Space group P6/mmm (No. 191)
One atom of each set of equivalent atoms:
Tb: 0.0000 0.0000 0.0000 [1 per cell]
Si: 0.3333 0.6667 0.5000 [2 per cell]
Pd: 0.0000 0.5000 0.2180 [6 per cell]

Summary:
Spin magnetization (μB per cell): 0.0
Uncorrected formation energy (eV/atom): -0.6054

(2)
A plane-wave DFT calculation with PBE was carried out for crystalline Pm6GeC2Br3 at its relaxed geometry.

Cell lengths 18.685, 3.928, 8.694 Å; angles 90.00, 109.55, 90.00 degrees
Space group C2/m (No. 12)
One atom of each set of equivalent atoms:
Pm: 0.028 0.000 0.252 [4 per cell]
Pm: 0.166 0.500 0.144 [4 per cell]
Pm: 0.184 0.500 0.551 [4 per cell]
Ge: 0.000 0.500 0.000 [2 per cell]
C: 0.171 0.000 0.339 [4 per cell]
Br: 0.000 0.500 0.500 [2 per cell]
Br: 0.164 0.000 0.831 [4 per cell]

Summary:
Spin magnetization (μB per cell): 0.0
Uncorrected formation energy (eV/atom): -0.9634

Question: What is the formula in the first record?
Answer: TbSi2Pd6

Question: The highest uncorrected formation energy belongs to which entry?
Answer: TbSi2Pd6

Question: Which value of spin magnetization does entry 2 give?
Answer: 0.0 μB per cell